CePu5Ge4 | Alexandria | PBE-GGA | optimized geometry; DOS at the Fermi energy = 36.85 states/eV/cell; crystal system = monoclinic; formation energy from the elements = -0.32 eV/atom
1.0
-0.414 3.561 1.384
-6.560 -2.166 3.612
7.340 -2.677 3.750
Ce Pu Ge
1 5 4
Direct
0.500 0.000 0.000
0.733 0.648 0.466
0.907 0.265 0.814
0.093 0.735 0.186
0.500 0.500 0.000
0.267 0.352 0.534
0.299 0.972 0.598
0.907 0.651 0.814
0.701 0.028 0.402
0.093 0.349 0.186